No. 1
Crystalline MgZr2NbTl at its relaxed geometry. Source: the Alexandria database, functional GGA-PBEsol.

Cell: 5.283 5.283 5.144 Å, 90.00 90.00 90.00°
Space group P4/mmm (No. 123)
Symmetry-distinct sites (fractional):
Mg  0.000  0.000  0.000 (multiplicity 1)
Zr  0.000  0.500  0.500 (multiplicity 2)
Nb  0.500  0.500  0.000 (multiplicity 1)
Tl  0.500  0.500  0.500 (multiplicity 1)

Properties
**Density**: 5.83 Mg/m³
**Calculated formation energy**: 128.4 kJ/mol of atoms

***

No. 2
Crystalline Mg3NbW at its relaxed geometry. Source: the Alexandria database, functional GGA-PBEsol.

Cell: 4.972 4.972 4.972 Å, 90.00 90.00 90.00°
Space group Pm-3m (No. 221)
Symmetry-distinct sites (fractional):
Mg  0.000  0.000  0.500 (multiplicity 3)
Nb  0.000  0.000  0.000 (multiplicity 1)
W  0.500  0.500  0.500 (multiplicity 1)

Properties
**Density**: 4.72 Mg/m³
**Calculated formation energy**: 219.8 kJ/mol of atoms

***

No. 3
Crystalline Nd3Mg at its relaxed geometry. Source: the Alexandria database, functional GGA-PBEsol.

Cell: 4.945 4.945 4.945 Å, 90.00 90.00 90.00°
Space group Pm-3m (No. 221)
Symmetry-distinct sites (fractional):
Nd  0.000  0.000  0.500 (multiplicity 3)
Mg  0.500  0.500  0.500 (multiplicity 1)

Properties
**Density**: 6.28 Mg/m³
**Calculated formation energy**: -1.9 kJ/mol of atoms